MgRe2Au after structural relaxation, computed with PBE.

Lattice parameters (Å, degrees): 3.015 3.015 7.356 90.00 90.00 90.00
Element x y z (fractional)
Au: 0.000 0.000 0.504
Re: 0.000 0.000 0.024
Re: 0.500 0.500 0.217
Mg: 0.500 0.500 0.755

Summary:
Spin magnetization ... 0.00 Bohr magnetons per cell
Uncorrected energy ... -29.46 eV/cell
D(E_F) ... 3.0 states/eV/cell
Calculated formation energy ... 0.31 eV per formula unit

=====

MgRe3Au after structural relaxation, computed with PBE.

Lattice parameters (Å, degrees): 4.470 4.470 4.470 90.00 90.00 90.00
Element x y z (fractional)
Re: 0.000 0.000 0.500
Re: 0.500 0.000 0.000
Re: 0.000 0.500 0.000
Au: 0.500 0.500 0.500
Mg: 0.000 0.000 0.000

Summary:
Spin magnetization ... 1.02 Bohr magnetons per cell
ΔE to the lowest computed polymorph ... 0 meV per atom
Uncorrected energy ... -29.73 eV/cell
D(E_F) ... 5.9 states/eV/cell
Calculated formation energy ... 12.49 eV per formula unit

=====

Mg2ReAu after structural relaxation, computed with PBE.

Lattice parameters (Å, degrees): 4.934 4.934 4.934 130.72 130.72 72.26
Element x y z (fractional)
Re: 0.250 0.750 0.500
Mg: 0.500 0.500 0.000
Mg: 0.000 0.000 0.000
Au: 0.750 0.250 0.500

Summary:
Spin magnetization ... 0.00 Bohr magnetons per cell
ΔE to the lowest computed polymorph ... 249 meV per atom
Uncorrected energy ... -17.96 eV/cell
D(E_F) ... 1.5 states/eV/cell
Calculated formation energy ... 0.95 eV per formula unit

=====

> Look up the D(E_F) of the third one.

1.5 states/eV/cell